## KTeOs (SCAN)

Data for a PBEsol-optimized structure of KTeOs.

Output
Energy relative to the elements, uncorrected = 408 meV/atom
Total energy = -38.745 eV per atom
M_tot = 0.0 μB/f.u.
ρ = 6.77 Mg/m³

Lattice parameters (Å, degrees): 4.1068 4.1068 5.9980 90.00 90.00 120.00
Fractional coordinates of all 3 atoms:
K 0.0000 0.0000 0.9962
Os 0.6667 0.3333 0.5722
Te 0.3333 0.6667 0.4316